Record 1
VASP calculation (PBE) on crystalline CdIn4Os at its relaxed geometry. Values from VASP.

## Properties
As for the size of the total moment: 0.70 μB per formula unit. As for the formation energy: 0.836 eV/atom.

Cell and atoms, written as Quantum ESPRESSO input:
```
&SYSTEM
  ibrav = 0, nat = 6, ntyp = 3
/
ATOMIC_SPECIES
Cd 112.41 Cd.upf
In 114.82 In.upf
Os 190.23 Os.upf
CELL_PARAMETERS angstrom
0.000 4.100 4.100
4.100 0.000 4.100
4.100 4.100 0.000
ATOMIC_POSITIONS angstrom
Cd 0.000 0.000 0.000
In 5.119 3.080 3.080
In 3.080 5.119 3.080
In 3.080 3.080 5.119
In 5.119 5.119 5.119
Os 2.050 2.050 2.050
```

---

Record 2
VASP calculation (PBE) on crystalline CdIn2Os at its relaxed geometry. Values from VASP.

## Properties
As for the size of the total moment: 0.58 μB per formula unit. As for the formation energy: 0.543 eV/atom.

Cell and atoms, written as Quantum ESPRESSO input:
```
&SYSTEM
  ibrav = 0, nat = 8, ntyp = 3
/
ATOMIC_SPECIES
Cd 112.41 Cd.upf
In 114.82 In.upf
Os 190.23 Os.upf
CELL_PARAMETERS angstrom
3.135 0.000 0.000
0.000 5.031 0.000
0.000 0.000 10.839
ATOMIC_POSITIONS angstrom
Cd 0.000 0.000 0.000
Cd 1.568 2.515 0.000
In 0.000 0.000 6.161
In 0.000 2.515 2.959
In 1.568 0.000 2.959
In 1.568 2.515 6.161
Os 0.000 2.515 8.480
Os 1.568 0.000 8.480
```

---

Record 3
VASP calculation (PBE) on crystalline Cd2InOs at its relaxed geometry. Values from VASP.

## Properties
As for the size of the total moment: 0.00 μB per formula unit. As for the formation energy: 0.299 eV/atom.

Cell and atoms, written as Quantum ESPRESSO input:
```
&SYSTEM
  ibrav = 0, nat = 8, ntyp = 3
/
ATOMIC_SPECIES
Cd 112.41 Cd.upf
In 114.82 In.upf
Os 190.23 Os.upf
CELL_PARAMETERS angstrom
2.912 0.000 0.000
0.000 4.606 0.000
0.000 0.000 13.121
ATOMIC_POSITIONS angstrom
Cd 0.000 0.000 2.461
Cd 0.000 0.000 10.660
Cd 1.456 2.303 4.100
Cd 1.456 2.303 9.022
In 0.000 2.303 0.000
In 1.456 0.000 6.561
Os 0.000 2.303 6.561
Os 1.456 0.000 0.000
```

---

Record 4
VASP calculation (PBE) on crystalline Cd2InOs at its relaxed geometry. Values from VASP.

## Properties
As for the size of the total moment: 0.35 μB per formula unit. As for the formation energy: 0.489 eV/atom.

Cell and atoms, written as Quantum ESPRESSO input:
```
&SYSTEM
  ibrav = 0, nat = 4, ntyp = 3
/
ATOMIC_SPECIES
Cd 112.41 Cd.upf
In 114.82 In.upf
Os 190.23 Os.upf
CELL_PARAMETERS angstrom
2.899 0.000 0.000
0.000 5.365 0.000
-0.046 0.000 5.009
ATOMIC_POSITIONS angstrom
Cd 0.699 0.000 1.282
Cd 2.154 0.000 3.727
In 1.449 2.682 0.000
Os -0.023 2.682 2.505
```